Below is a geometry-optimized YMn2Cl structure, with properties calculated at the GGA-PBE level.

The structure in CIF format:
```
data_YMn2Cl
_chemical_formula_sum 'Y1 Mn2 Cl1'
_cell_length_a 8.918
_cell_length_b 8.918
_cell_length_c 8.918
_cell_angle_alpha 21.79
_cell_angle_beta 21.79
_cell_angle_gamma 21.79
_symmetry_space_group_name_H-M 'P 1'
_symmetry_Int_Tables_number 1
_symmetry_space_group_name_Hall 'P 1'
loop_
_atom_site_label
_atom_site_type_symbol
_atom_site_fract_x
_atom_site_fract_y
_atom_site_fract_z
Y1 Y 0.250 0.250 0.250
Cl1 Cl 0.750 0.750 0.750
Mn1 Mn 0.492 0.492 0.492
Mn2 Mn 0.008 0.008 0.008
```

Energy: -6.547 eV per atom
Uncorrected formation energy: 44 kJ/mol of formula units